Run one
The following is a DFT calculation (PBEsol) of a relaxed ScTa2Rh crystal.

a b c (Å): 3.157 4.454 4.811
angles (deg): 90.00 90.00 90.00
Sites, in units of the cell vectors:
1 Rh 0.500 0.000 0.500
2 Ta 0.000 0.000 0.000
3 Ta 0.500 0.500 0.000
4 Sc 0.000 0.500 0.500

## Properties
DOS(E_F) in states/eV per cell: 3.9



Run two
The following is a DFT calculation (PBEsol) of a relaxed ScTa2Rh crystal.

a b c (Å): 2.859 5.171 5.379
angles (deg): 115.00 99.24 102.63
Sites, in units of the cell vectors:
1 Ta 0.500 0.500 0.500
2 Rh 0.500 0.000 0.000
3 Sc 0.000 0.500 0.000
4 Ta 0.000 0.000 0.500

## Properties
DOS(E_F) in states/eV per cell: 3.8



Short version: run one is the most stable of them.



Run one
The following is a DFT calculation (PBEsol) of a relaxed MoIrPb2 crystal.

a b c (Å): 3.065 4.765 5.668
angles (deg): 101.84 90.00 108.76
Sites, in units of the cell vectors:
1 Pb 0.247 0.493 0.247
2 Mo 0.000 0.000 0.500
3 Pb 0.753 0.507 0.753
4 Ir 0.500 0.000 0.000

## Properties
DOS(E_F) in states/eV per cell: 3.2



Run two
The following is a DFT calculation (PBEsol) of a relaxed MoIrPb2 crystal.

a b c (Å): 3.049 3.049 10.680
angles (deg): 81.79 81.79 60.00
Sites, in units of the cell vectors:
1 Pb 0.985 0.985 0.045
2 Ir 0.511 0.511 0.468
3 Pb 0.766 0.766 0.702
4 Mo 0.238 0.238 0.285

## Properties
DOS(E_F) in states/eV per cell: 3.5



Short version: run two is the most stable of them.